Compound: Zr6Tl3Bi
Source: Alexandria via LeMat-Bulk
Functional: PBE
Structure: optimized geometry

Calculated values
The calculated formation energy is 0.021 eV/atom. The total energy comes out at -6.205 eV/atom. The space group is Cmc2_1 (36).

Lattice parameters (Å, degrees): 7.7004 8.6190 8.6190 119.87 90.00 90.00
Positions (direct):
Zr1 0.8009 0.8993 0.5059
Zr2 0.8009 0.4941 0.1007
Zr3 0.3009 0.1007 0.4941
Tl1 0.3129 0.4787 0.5213
Bi1 0.0178 0.2179 0.7821
Zr4 0.1019 0.8272 0.7029
Zr5 0.3009 0.5059 0.8993
Tl2 0.9606 0.0590 0.3046
Zr6 0.6364 0.3009 0.6991
Zr7 0.6019 0.1728 0.2971
Tl3 0.4606 0.9410 0.6954
Zr8 0.1019 0.2971 0.1728
Zr9 0.1364 0.6991 0.3009
Zr10 0.7914 0.0503 0.9497
Tl4 0.8129 0.5213 0.4787
Bi2 0.5178 0.7821 0.2179
Zr11 0.6019 0.7029 0.8272
Tl5 0.4606 0.3046 0.0590
Zr12 0.2914 0.9497 0.0503
Tl6 0.9606 0.6954 0.9410